Compound: P2AuSCl
Source: Alexandria
Functional: SCAN
Structure: PBEsol geometry

```
P2AuSCl
1.0
4.7291 0.0000 0.0000
0.0000 4.8210 0.0000
0.0000 0.0000 4.8210
S P Au Cl
1 2 1 1
Cartesian
2.3645 0.0000 0.0000
0.0000 0.0000 2.4105
0.0000 2.4105 0.0000
0.0000 0.0000 0.0000
2.3645 2.4105 2.4105
```

## Properties
The space group is P4/mmm. As for the crystal system: tetragonal.


Compound: Pb2AuCl
Source: Alexandria
Functional: SCAN
Structure: PBEsol geometry

```
Pb2AuCl
1.0
3.8594 0.0000 0.0000
-1.9297 3.3466 -0.0401
0.0000 -2.1238 8.1232
Cl Au Pb
1 1 2
Cartesian
1.9297 0.0000 0.0000
0.0000 -1.0619 4.0616
1.9297 0.0785 5.8960
0.0000 1.1443 2.1871
```

## Properties
The space group is C2/m. As for the crystal system: monoclinic.


The calculation returns the following raw total energy values, one per record and in order: -102.3; -230.4 eV/cell.
The calculation returns the following uncorrected formation energy values, one per record and in order: 1.0441; -0.4144 eV per atom.